(1)
A plane-wave DFT calculation with PBE-GGA was carried out for a relaxed NbIn3P crystal.

Lattice parameters (Å, degrees): 5.109 5.109 5.109 90.00 90.00 90.00
Site moments in Bohr magnetons follow the coordinates.
Sites, in units of the cell vectors:
In  0.500  0.000  0.000  -0.03
In  0.000  0.500  0.000  -0.01
In  0.000  0.000  0.500  -0.02
P  0.000  0.000  0.000  0.06
Nb  0.500  0.500  0.500  2.35

space-group type = No. 221
DFT formation energy = 0.95 eV per atom
excess energy over the best structure of this formula in the dataset = 0.00 eV per formula unit
size of the total moment = 3.00 Bohr magnetons per cell

(2)
A plane-wave DFT calculation with PBE-GGA was carried out for a relaxed Li2AgGe crystal.

Lattice parameters (Å, degrees): 7.222 7.222 5.773 51.28 51.28 90.00
Sites, in units of the cell vectors:
Ge  0.500  0.500  0.000
Ge  0.250  0.750  0.500
Ag  0.750  0.250  0.500
Ag  0.000  0.000  0.000
Li  0.127  0.625  0.250
Li  0.623  0.125  0.250
Li  0.375  0.377  0.750
Li  0.875  0.873  0.750

space-group type = No. 122
DFT formation energy = -0.02 eV per atom
size of the total moment = 0.00 Bohr magnetons per cell

(3)
A plane-wave DFT calculation with PBE-GGA was carried out for a relaxed Cs3NiH6 crystal.

Lattice parameters (Å, degrees): 6.427 6.427 6.427 90.17 119.90 119.90
Sites, in units of the cell vectors:
Cs  0.500  0.750  0.250
Cs  0.500  0.250  0.750
Cs  0.000  0.000  0.000
H  0.000  0.326  0.326
H  0.348  0.674  0.674
H  0.000  0.326  0.674
H  0.000  0.674  0.326
H  0.652  0.326  0.326
H  0.000  0.674  0.674
Ni  0.000  0.500  0.500

space-group type = No. 139
DFT total energy = -2.9569 eV per atom
size of the total moment = 0.01 Bohr magnetons per cell

(4)
A plane-wave DFT calculation with PBE-GGA was carried out for a relaxed TbPm2NdEr4 crystal.

Lattice parameters (Å, degrees): 9.509 9.509 11.807 128.38 128.38 88.45
Site moments in Bohr magnetons follow the coordinates.
Sites, in units of the cell vectors:
Tb  0.000  0.000  0.000  0.28
Tb  0.500  0.500  0.500  0.28
Pm  0.500  0.500  0.000  0.23
Pm  0.000  0.000  0.500  0.23
Pm  0.500  0.000  0.000  0.21
Pm  0.500  0.000  0.500  0.21
Er  0.250  0.250  0.002  0.28
Er  0.750  0.750  0.502  0.28
Er  0.752  0.248  0.000  0.26
Er  0.252  0.748  0.500  0.26
Er  0.250  0.250  0.498  0.28
Er  0.248  0.752  0.000  0.26
Er  0.750  0.750  0.998  0.28
Er  0.748  0.252  0.500  0.26
Nd  0.000  0.500  0.500  0.21
Nd  0.000  0.500  0.000  0.21

space-group type = No. 74
DFT formation energy = 0.42 eV per atom
size of the total moment = 5.70 Bohr magnetons per cell